Below is Np2Tl3PbS6 after structural relaxation, with properties calculated at the PBE level.

Formation energy (no corrections): -0.885 eV/atom
Magnetic moment: 7.00 μB per cell
Space-group type: No. 12
Crystal system: monoclinic

a = 7.1395 Å, b = 7.1395 Å, c = 7.8118 Å
α = 98.69°, β = 98.69°, γ = 119.79°
Fractional coordinates of all 12 atoms:
1 Np 0.3327 0.6673 0.0000
2 Np 0.6673 0.3327 0.0000
3 Tl 0.1605 0.8395 0.5000
4 Tl 0.8395 0.1605 0.5000
5 Tl 0.5000 0.5000 0.5000
6 Pb 0.0000 0.0000 0.0000
7 S 0.9321 0.5709 0.7967
8 S 0.7046 0.7046 0.1961
9 S 0.0679 0.4291 0.2033
10 S 0.5709 0.9321 0.7967
11 S 0.2954 0.2954 0.8039
12 S 0.4291 0.0679 0.2033